# 1
La4PbW | SCAN | PBEsol geometry

Geometry as extended XYZ:
```
6
Lattice="0.000 4.376 4.376 4.376 0.000 4.376 4.376 4.376 0.000" Properties=species:S:1:pos:R:3 pbc="T T T"
La 1.081 1.081 1.081
La 3.295 3.295 1.081
La 3.295 1.081 3.295
La 1.081 3.295 3.295
Pb 4.376 4.376 4.376
W 6.564 6.564 6.564
```

crystal system: cubic
VASP energy: -52.2072 eV per atom
SG: F-43m (216)

# 2
LaPbW2 | SCAN | PBEsol geometry

Geometry as extended XYZ:
```
4
Lattice="1.679 -2.481 0.000 1.679 2.481 0.000 0.000 0.000 9.820" Properties=species:S:1:pos:R:3 pbc="T T T"
La 0.000 0.000 0.000
Pb 0.000 0.000 4.910
W 1.679 0.000 2.584
W 1.679 0.000 7.236
```

crystal system: orthorhombic
VASP energy: -63.3977 eV per atom
SG: Cmmm (65)

# 3
LaY2Pb | SCAN | PBEsol geometry

Geometry as extended XYZ:
```
4
Lattice="3.520 0.000 0.000 0.000 5.657 0.000 -0.002 0.000 5.878" Properties=species:S:1:pos:R:3 pbc="T T T"
La 0.000 0.000 0.000
Y 0.004 2.829 3.922
Y 1.761 0.000 2.829
Pb 1.765 2.829 1.047
```

crystal system: monoclinic
VASP energy: -44.0049 eV per atom
SG: Pm (6)

# 4
LaYPb2 | SCAN | PBEsol geometry

Geometry as extended XYZ:
```
4
Lattice="5.803 0.000 0.000 0.000 5.803 0.000 0.000 0.000 3.441" Properties=species:S:1:pos:R:3 pbc="T T T"
La 0.000 0.000 0.000
Y 2.902 2.902 0.548
Pb 0.000 2.902 1.927
Pb 2.902 0.000 1.927
```

crystal system: tetragonal
VASP energy: -56.3715 eV per atom
SG: P4mm (99)

# 5
LaYPb | SCAN | PBEsol geometry

Geometry as extended XYZ:
```
3
Lattice="5.145 0.000 0.000 -2.573 4.456 0.000 0.000 0.000 4.179" Properties=species:S:1:pos:R:3 pbc="T T T"
La 0.000 0.000 0.000
Y 2.573 1.485 2.091
Pb 0.000 2.971 2.084
```

crystal system: trigonal
VASP energy: -49.4104 eV per atom
SG: P3m1 (156)

# 6
LaYPb2 | SCAN | PBEsol geometry

Geometry as extended XYZ:
```
4
Lattice="-2.295 2.295 5.515 2.295 -2.295 5.515 2.295 2.295 -5.515" Properties=species:S:1:pos:R:3 pbc="T T T"
La 0.000 0.000 0.000
Y 2.295 0.000 2.758
Pb 0.000 0.000 5.515
Pb 0.000 2.295 2.758
```

crystal system: tetragonal
VASP energy: -56.3824 eV per atom
SG: I-4m2 (119)

# 7
LaYPb | SCAN | PBEsol geometry

Geometry as extended XYZ:
```
3
Lattice="-1.799 1.799 7.162 1.799 -1.799 7.162 1.799 1.799 -7.162" Properties=species:S:1:pos:R:3 pbc="T T T"
La 0.000 0.000 0.000
Y 0.000 0.000 4.364
Pb 0.000 0.000 9.439
```

crystal system: tetragonal
VASP energy: -49.3696 eV per atom
SG: I4mm (107)

# 8
LaY2Pb | SCAN | PBEsol geometry

Geometry as extended XYZ:
```
4
Lattice="4.919 0.000 0.000 0.000 4.919 0.000 0.000 0.000 4.730" Properties=species:S:1:pos:R:3 pbc="T T T"
La 0.000 0.000 0.000
Y 0.000 2.459 2.365
Y 2.459 0.000 2.365
Pb 2.459 2.459 0.000
```

crystal system: tetragonal
VASP energy: -44.0967 eV per atom
SG: P4/mmm (123)